{
  "formula": "LuCu4Ru",
  "functional": "PBE-GGA",
  "state": "optimized geometry",
  "lattice": [[-3.6001, -1.8679, 2.8049], [0.8478, -1.0070, 4.7523], [-2.0746, 2.7674, 3.5150]],
  "species": ["Cu", "Cu", "Cu", "Cu", "Ru", "Lu"],
  "frac_coords": [[0.6241, 0.6241, 0.6241], [0.1276, 0.6241, 0.6241], [0.6241, 0.6241, 0.1276], [0.6241, 0.1276, 0.6241], [0.2500, 0.2500, 0.2500], [0.0000, 0.0000, 0.0000]],
  "delta_e_f_ev_per_atom": -0.1188,
  "energy_ev_per_atom": -5.149,
  "volume_a3_per_cell": 84.8
}



{
  "formula": "LuScCuRu",
  "functional": "PBE-GGA",
  "state": "optimized geometry",
  "lattice": [[4.6648, 0.0000, 0.0000], [2.3324, 4.0398, 0.0000], [2.3324, 1.3466, 3.8088]],
  "species": ["Lu", "Sc", "Ru", "Cu"],
  "frac_coords": [[0.5000, 0.5000, 0.5000], [0.0000, 0.0000, 0.0000], [0.7500, 0.7500, 0.7500], [0.2500, 0.2500, 0.2500]],
  "delta_e_f_ev_per_atom": -0.4398,
  "energy_ev_per_atom": -6.496,
  "volume_a3_per_cell": 71.8
}



{
  "formula": "SmLuCuRu",
  "functional": "PBE-GGA",
  "state": "optimized geometry",
  "lattice": [[4.8582, 0.0000, 0.0000], [2.4291, 4.2073, 0.0000], [2.4291, 1.4024, 3.9667]],
  "species": ["Ru", "Lu", "Sm", "Cu"],
  "frac_coords": [[0.7500, 0.7500, 0.7500], [0.0000, 0.0000, 0.0000], [0.5000, 0.5000, 0.5000], [0.2500, 0.2500, 0.2500]],
  "delta_e_f_ev_per_atom": -0.3075,
  "energy_ev_per_atom": -5.961,
  "volume_a3_per_cell": 81.1
}



{
  "formula": "LuTiCuRu",
  "functional": "PBE-GGA",
  "state": "optimized geometry",
  "lattice": [[4.5615, 0.0000, 0.0000], [2.2808, 3.9504, 0.0000], [2.2808, 1.3168, 3.7244]],
  "species": ["Ru", "Cu", "Ti", "Lu"],
  "frac_coords": [[0.2500, 0.2500, 0.2500], [0.7500, 0.7500, 0.7500], [0.5000, 0.5000, 0.5000], [0.0000, 0.0000, 0.0000]],
  "delta_e_f_ev_per_atom": -0.3161,
  "energy_ev_per_atom": -6.763,
  "volume_a3_per_cell": 67.1
}



{
  "formula": "LuVCuRu",
  "functional": "PBE-GGA",
  "state": "optimized geometry",
  "lattice": [[-1.9399, -1.1669, -3.8944], [-2.1326, -3.9515, -0.3589], [-4.4907, -0.1135, -0.3342]],
  "species": ["Lu", "Ru", "V", "Cu"],
  "frac_coords": [[0.5000, 0.5000, 0.5000], [0.7500, 0.7500, 0.7500], [0.0000, 0.0000, 0.0000], [0.2500, 0.2500, 0.2500]],
  "delta_e_f_ev_per_atom": -0.0837,
  "energy_ev_per_atom": -6.837,
  "volume_a3_per_cell": 64.6
}



{
  "formula": "LuZnCuRu",
  "functional": "PBE-GGA",
  "state": "optimized geometry",
  "lattice": [[-4.2941, -0.5636, -1.2442], [-2.3098, -3.5916, 1.4389], [-3.3059, 0.5090, 3.0194]],
  "species": ["Cu", "Lu", "Zn", "Ru"],
  "frac_coords": [[0.7500, 0.7500, 0.7500], [0.5000, 0.5000, 0.5000], [0.0000, 0.0000, 0.0000], [0.2500, 0.2500, 0.2500]],
  "delta_e_f_ev_per_atom": -0.1790,
  "energy_ev_per_atom": -4.971,
  "volume_a3_per_cell": 64.7
}